# CsTa2IrPt, single point on PBEsol structure, DFT SCAN
# ΔH_f (0 K)	1.13	eV per atom
data_CsTa2IrPt
_chemical_formula_sum 'Cs1 Ta2 Ir1 Pt1'
_symmetry_space_group_name_H-M 'P 4/m m m'
_symmetry_Int_Tables_number 123
_symmetry_space_group_name_Hall '-P 4 2'
_cell_length_a 4.8570
_cell_length_b 4.8570
_cell_length_c 5.2214
_cell_angle_alpha 90.00
_cell_angle_beta 90.00
_cell_angle_gamma 90.00
loop_
_atom_site_label
_atom_site_fract_x
_atom_site_fract_y
_atom_site_fract_z
Cs1 0.0000 0.0000 0.0000
Ta1 0.0000 0.5000 0.5000
Ir1 0.5000 0.5000 0.5000
Pt1 0.5000 0.5000 0.0000